An optimized crystal structure of Ba8Cd2Rh, computed with PBE-GGA.

Results
The formation energy is -1.3 eV/f.u.

CIF file:
```
data_Ba8Cd2Rh
_symmetry_space_group_name_H-M 'C 1 2/m 1'
_symmetry_Int_Tables_number 12
_symmetry_space_group_name_Hall '-C 2y'
_cell_length_a 21.133
_cell_length_b 6.136
_cell_length_c 7.990
_cell_angle_alpha 90.00
_cell_angle_beta 106.91
_cell_angle_gamma 90.00
loop_
_atom_site_label
_atom_site_fract_x
_atom_site_fract_y
_atom_site_fract_z
Ba1 0.026 0.000 0.300
Ba2 0.088 0.500 0.901
Ba3 0.147 0.500 0.456
Ba4 0.213 0.000 0.805
Cd1 0.186 0.000 0.225
Rh1 0.000 0.500 0.500
```


An optimized crystal structure of TbEr2I, computed with PBE-GGA.

Results
The formation energy without anion corrections comes out at -0.316 eV/atom.

CIF file:
```
data_TbEr2I
_symmetry_space_group_name_H-M 'R 3 m'
_symmetry_Int_Tables_number 160
_symmetry_space_group_name_Hall 'R 3 -2"'
_cell_length_a 3.7416
_cell_length_b 3.7416
_cell_length_c 31.0778
_cell_angle_alpha 90.00
_cell_angle_beta 90.00
_cell_angle_gamma 120.00
loop_
_atom_site_label
_atom_site_fract_x
_atom_site_fract_y
_atom_site_fract_z
Tb1 0.0000 0.0000 0.0000
Er1 0.0000 0.0000 0.2454
Er2 0.0000 0.0000 0.4205
I1 0.0000 0.0000 0.8332
```